Record 1
LaNdO3 | GGA-PBE | relaxed

Values from the calculation:
* SG: P-6m2 (187)
* total magnetization: 0.0 μB per formula unit
* electronic total energy: -8.102 eV per atom
* ΔE_f (raw): -3.188 eV per atom

Unit cell a=6.3055 b=6.3055 c=3.2453 alpha=90.00 beta=90.00 gamma=120.00
Fractional positions:
La: 0.0000 0.0000 0.0000
Nd: 0.6667 0.3333 0.0000
O: 0.3374 0.1687 0.5000
O: 0.8313 0.1687 0.5000
O: 0.8313 0.6626 0.5000

=====

Record 2
LaNdO2 | GGA-PBE | relaxed

Values from the calculation:
* SG: R-3m (166)
* total magnetization: 0.0 μB per formula unit
* electronic total energy: -7.700 eV per atom
* ΔE_f (raw): -2.797 eV per atom
* relative energy among the computed polymorphs: 0.0 meV/atom

Unit cell a=6.2459 b=6.2459 c=6.2459 alpha=33.59 beta=33.59 gamma=33.59
Fractional positions:
La: 0.0000 0.0000 0.0000
Nd: 0.5000 0.5000 0.5000
O: 0.2467 0.2467 0.2467
O: 0.7533 0.7533 0.7533

=====

Record 3
LaNd3O | GGA-PBE | relaxed

Values from the calculation:
* SG: Pm-3m (221)
* total magnetization: 0.0 μB per formula unit
* electronic total energy: -5.893 eV per atom
* ΔE_f (raw): -1.056 eV per atom

Unit cell a=5.1414 b=5.1414 c=5.1414 alpha=90.00 beta=90.00 gamma=90.00
Fractional positions:
La: 0.0000 0.0000 0.0000
Nd: 0.0000 0.5000 0.5000
Nd: 0.5000 0.0000 0.5000
Nd: 0.5000 0.5000 0.0000
O: 0.5000 0.5000 0.5000

=====

Record 4
LaNdO3 | GGA-PBE | relaxed

Values from the calculation:
* SG: R32 (155)
* total magnetization: 0.0 μB per formula unit
* electronic total energy: -8.164 eV per atom
* ΔE_f (raw): -3.250 eV per atom

Unit cell a=6.6776 b=6.6776 c=6.6776 alpha=52.92 beta=52.92 gamma=52.92
Fractional positions:
La: 0.1437 0.1437 0.1437
La: 0.8563 0.8563 0.8563
Nd: 0.3534 0.3534 0.3534
Nd: 0.6466 0.6466 0.6466
O: 0.0435 0.4623 0.7426
O: 0.2574 0.5377 0.9565
O: 0.4623 0.7426 0.0435
O: 0.5377 0.9565 0.2574
O: 0.7426 0.0435 0.4623
O: 0.9565 0.2574 0.5377

=====

Record 5
LaNd2O4 | GGA-PBE | relaxed

Values from the calculation:
* SG: I4_1/amd (141)
* total magnetization: 0.0 μB per formula unit
* electronic total energy: -8.016 eV per atom
* ΔE_f (raw): -3.116 eV per atom

Unit cell a=7.1563 b=7.1563 c=7.1563 alpha=119.97 beta=119.97 gamma=90.05
Fractional positions:
La: 0.3750 0.6250 0.7500
La: 0.6250 0.3750 0.2500
Nd: 0.0000 0.0000 0.0000
Nd: 0.0000 0.0000 0.5000
Nd: 0.0000 0.5000 0.0000
Nd: 0.5000 0.0000 0.5000
O: 0.2214 0.2405 0.9809
O: 0.2404 0.7595 0.4809
O: 0.2405 0.2214 0.4809
O: 0.2405 0.7596 0.0191
O: 0.7595 0.2404 0.9809
O: 0.7595 0.7786 0.5191
O: 0.7596 0.2405 0.5191
O: 0.7786 0.7595 0.0191

=====

Record 6
LaNd3O4 | GGA-PBE | relaxed

Values from the calculation:
* SG: P2/c (13)
* total magnetization: 0.0 μB per formula unit
* electronic total energy: -7.647 eV per atom
* ΔE_f (raw): -2.764 eV per atom

Unit cell a=6.2360 b=7.1235 c=6.2314 alpha=90.00 beta=109.25 gamma=90.00
Fractional positions:
La: 0.0000 0.1251 0.2500
La: 0.0000 0.8749 0.7500
Nd: 0.0000 0.3752 0.7500
Nd: 0.0000 0.6248 0.2500
Nd: 0.5000 0.1252 0.7500
Nd: 0.5000 0.3752 0.2500
Nd: 0.5000 0.6248 0.7500
Nd: 0.5000 0.8748 0.2500
O: 0.2539 0.3776 0.5025
O: 0.2539 0.6224 0.0025
O: 0.2558 0.1277 0.0007
O: 0.2558 0.8723 0.5007
O: 0.7442 0.1277 0.4993
O: 0.7442 0.8723 0.9993
O: 0.7461 0.3776 0.9975
O: 0.7461 0.6224 0.4975

=====

Record 7
La2NdO3 | GGA-PBE | relaxed

Values from the calculation:
* SG: Fddd (70)
* total magnetization: 0.0 μB per formula unit
* electronic total energy: -7.735 eV per atom
* ΔE_f (raw): -2.819 eV per atom

Unit cell a=11.9396 b=11.3791 c=6.2918 alpha=79.33 beta=69.48 gamma=31.19
Fractional positions:
La: 0.0420 0.0420 0.2080
La: 0.1243 0.1243 0.6257
La: 0.2080 0.2080 0.0420
La: 0.3743 0.3743 0.8757
La: 0.6257 0.6257 0.1243
La: 0.7920 0.7920 0.9580
La: 0.8757 0.8757 0.3743
La: 0.9580 0.9580 0.7920
Nd: 0.2914 0.2914 0.4586
Nd: 0.4586 0.4586 0.2914
Nd: 0.5414 0.5414 0.7086
Nd: 0.7086 0.7086 0.5414
O: 0.0403 0.5416 0.2158
O: 0.1319 0.6181 0.6181
O: 0.2158 0.7024 0.0403
O: 0.2976 0.7842 0.4584
O: 0.3819 0.8681 0.8681
O: 0.4584 0.9597 0.2976
O: 0.5416 0.0403 0.7024
O: 0.6181 0.1319 0.1319
O: 0.7024 0.2158 0.5416
O: 0.7842 0.2976 0.9597
O: 0.8681 0.3819 0.3819
O: 0.9597 0.4584 0.7842

=====

Record 8
LaNd3O6 | GGA-PBE | relaxed

Values from the calculation:
* SG: R-3 (148)
* total magnetization: 0.0 μB per formula unit
* electronic total energy: -8.252 eV per atom
* ΔE_f (raw): -3.354 eV per atom

Unit cell a=7.0850 b=7.0850 c=7.0850 alpha=91.38 beta=91.38 gamma=91.38
Fractional positions:
La: 0.0000 0.0000 0.0000
La: 0.5000 0.5000 0.5000
Nd: 0.0523 0.5598 0.7514
Nd: 0.2486 0.9477 0.4402
Nd: 0.4402 0.2486 0.9477
Nd: 0.5598 0.7514 0.0523
Nd: 0.7514 0.0523 0.5598
Nd: 0.9477 0.4402 0.2486
O: 0.0245 0.8940 0.6789
O: 0.1060 0.3211 0.9755
O: 0.1815 0.6007 0.4308
O: 0.3211 0.9755 0.1060
O: 0.3993 0.5692 0.8185
O: 0.4308 0.1815 0.6007
O: 0.5692 0.8185 0.3993
O: 0.6007 0.4308 0.1815
O: 0.6789 0.0245 0.8940
O: 0.8185 0.3993 0.5692
O: 0.8940 0.6789 0.0245
O: 0.9755 0.1060 0.3211

=====

Record 9
LaNdOsO6 | GGA-PBE | relaxed

Values from the calculation:
* SG: P-31c (163)
* total magnetization: 2.0 μB per formula unit
* electronic total energy: -7.930 eV per atom
* ΔE_f (raw): -2.300 eV per atom

Unit cell a=5.7468 b=5.7468 c=9.5655 alpha=90.00 beta=90.00 gamma=120.00
Fractional positions:
La: 0.3333 0.6667 0.2500
La: 0.6667 0.3333 0.7500
Nd: 0.0000 0.0000 0.0000
Nd: 0.0000 0.0000 0.5000
Os: 0.3333 0.6667 0.7500
Os: 0.6667 0.3333 0.2500
O: 0.0596 0.3800 0.6353
O: 0.0596 0.6796 0.8647
O: 0.3204 0.3800 0.8647
O: 0.3204 0.9404 0.6353
O: 0.3800 0.0596 0.1353
O: 0.3800 0.3204 0.3647
O: 0.6200 0.6796 0.6353
O: 0.6200 0.9404 0.8647
O: 0.6796 0.0596 0.3647
O: 0.6796 0.6200 0.1353
O: 0.9404 0.3204 0.1353
O: 0.9404 0.6200 0.3647

=====

Record 10
La2NdPO8 | GGA-PBE | relaxed

Values from the calculation:
* SG: P-3m1 (164)
* total magnetization: 2.0 μB per formula unit
* electronic total energy: -7.445 eV per atom
* ΔE_f (raw): -2.470 eV per atom

Unit cell a=5.3438 b=5.3438 c=6.3864 alpha=90.00 beta=90.00 gamma=120.00
Fractional positions:
La: 0.3333 0.6667 0.3607
La: 0.6667 0.3333 0.6393
Nd: 0.0000 0.0000 0.0000
P: 0.0000 0.0000 0.5000
O: 0.1499 0.2998 0.6593
O: 0.1499 0.8501 0.6593
O: 0.2998 0.1499 0.3407
O: 0.3333 0.6667 0.0301
O: 0.6667 0.3333 0.9699
O: 0.7002 0.8501 0.6593
O: 0.8501 0.1499 0.3407
O: 0.8501 0.7002 0.3407

=====

Record 11
LaNdPa2O8 | GGA-PBE | relaxed

Values from the calculation:
* SG: I-4m2 (119)
* total magnetization: 0.0 μB per formula unit
* electronic total energy: -9.361 eV per atom
* ΔE_f (raw): -3.665 eV per atom

Unit cell a=6.7211 b=6.7211 c=6.7211 alpha=131.27 beta=131.27 gamma=71.38
Fractional positions:
La: 0.0000 0.0000 0.0000
Nd: 0.2500 0.7500 0.5000
Pa: 0.5000 0.5000 0.0000
Pa: 0.7500 0.2500 0.5000
O: 0.1254 0.1457 0.5227
O: 0.1254 0.6027 0.9797
O: 0.3973 0.3769 0.5227
O: 0.3973 0.8746 0.0203
O: 0.6231 0.1457 0.0203
O: 0.6231 0.6027 0.4773
O: 0.8543 0.3769 0.9797
O: 0.8543 0.8746 0.4773

=====

Record 12
LaNdPb2O8 | GGA-PBE | relaxed

Values from the calculation:
* SG: I-4 (82)
* total magnetization: 2.0 μB per formula unit
* electronic total energy: -6.446 eV per atom
* ΔE_f (raw): -1.714 eV per atom

Unit cell a=6.8452 b=6.8452 c=6.8452 alpha=130.43 beta=130.43 gamma=72.72
Fractional positions:
La: 0.0000 0.0000 0.0000
Nd: 0.7500 0.2500 0.5000
Pb: 0.2500 0.7500 0.5000
Pb: 0.5000 0.5000 0.0000
O: 0.0956 0.6408 0.0465
O: 0.1503 0.2054 0.5496
O: 0.3592 0.4057 0.4548
O: 0.3993 0.8497 0.0551
O: 0.5943 0.0491 0.9535
O: 0.6558 0.6007 0.4504
O: 0.7946 0.3442 0.9449
O: 0.9509 0.9044 0.5452

=====

Record 13
LaNdPbO2 | GGA-PBE | relaxed

Values from the calculation:
* SG: I4mm (107)
* total magnetization: 0.0 μB per formula unit
* electronic total energy: -7.150 eV per atom
* ΔE_f (raw): -2.486 eV per atom

Unit cell a=7.9164 b=7.9164 c=7.9164 alpha=150.56 beta=150.56 gamma=42.11
Fractional positions:
La: 0.0000 0.0000 0.0000
Nd: 0.6638 0.6638 0.0000
Pb: 0.3308 0.3308 0.0000
O: 0.0831 0.5831 0.5000
O: 0.5831 0.0831 0.5000

=====

Record 14
La3NdPb2O | GGA-PBE | relaxed

Values from the calculation:
* SG: Immm (71)
* total magnetization: 1.3 μB per formula unit
* electronic total energy: -5.771 eV per atom
* ΔE_f (raw): -1.210 eV per atom

Unit cell a=9.5634 b=9.5634 c=9.5634 alpha=150.65 beta=150.47 gamma=42.12
Fractional positions:
La: 0.0000 0.0000 0.0000
La: 0.1743 0.6743 0.5000
La: 0.8257 0.3257 0.5000
Nd: 0.5000 0.5000 0.0000
Pb: 0.3618 0.8618 0.5000
Pb: 0.6382 0.1382 0.5000
O: 0.0000 0.5000 0.5000

=====

Record 15
La2Nd4Pb3O2 | GGA-PBE | relaxed

Values from the calculation:
* SG: I4/mmm (139)
* total magnetization: 0.0 μB per formula unit
* electronic total energy: -5.945 eV per atom
* ΔE_f (raw): -1.402 eV per atom

Unit cell a=13.6911 b=13.6911 c=13.6911 alpha=159.43 beta=159.43 gamma=29.25
Fractional positions:
La: 0.1926 0.1926 0.0000
La: 0.8074 0.8074 0.0000
Nd: 0.0818 0.5818 0.5000
Nd: 0.4182 0.9182 0.5000
Nd: 0.5818 0.0818 0.5000
Nd: 0.9182 0.4182 0.5000
Pb: 0.3232 0.3232 0.0000
Pb: 0.5000 0.5000 0.0000
Pb: 0.6768 0.6768 0.0000
O: 0.1009 0.1009 0.0000
O: 0.8991 0.8991 0.0000

=====

Record 16
La2NdPdO5 | GGA-PBE | relaxed

Values from the calculation:
* SG: P4/mbm (127)
* total magnetization: 1.0 μB per formula unit
* electronic total energy: -7.471 eV per atom
* ΔE_f (raw): -2.515 eV per atom

Unit cell a=6.7408 b=6.7408 c=5.9613 alpha=90.00 beta=90.00 gamma=90.00
Fractional positions:
La: 0.1637 0.3363 0.0000
La: 0.3363 0.8363 0.0000
La: 0.6637 0.1637 0.0000
La: 0.8363 0.6637 0.0000
Nd: 0.0000 0.0000 0.5000
Nd: 0.5000 0.5000 0.5000
Pd: 0.0000 0.5000 0.5000
Pd: 0.5000 0.0000 0.5000
O: 0.0000 0.0000 0.0000
O: 0.1697 0.6697 0.2663
O: 0.1697 0.6697 0.7337
O: 0.3303 0.1697 0.2663
O: 0.3303 0.1697 0.7337
O: 0.5000 0.5000 0.0000
O: 0.6697 0.8303 0.2663
O: 0.6697 0.8303 0.7337
O: 0.8303 0.3303 0.2663
O: 0.8303 0.3303 0.7337

=====

Record 17
LaNd2PdO5 | GGA-PBE | relaxed

Values from the calculation:
* SG: P4/mbm (127)
* total magnetization: 0.7 μB per formula unit
* electronic total energy: -7.485 eV per atom
* ΔE_f (raw): -2.547 eV per atom

Unit cell a=6.6528 b=6.6528 c=6.0114 alpha=90.00 beta=90.00 gamma=90.00
Fractional positions:
La: 0.0000 0.0000 0.0000
La: 0.5000 0.5000 0.0000
Nd: 0.1649 0.3351 0.5000
Nd: 0.3351 0.8351 0.5000
Nd: 0.6649 0.1649 0.5000
Nd: 0.8351 0.6649 0.5000
Pd: 0.0000 0.5000 0.0000
Pd: 0.5000 0.0000 0.0000
O: 0.0000 0.0000 0.5000
O: 0.1631 0.6631 0.2427
O: 0.1631 0.6631 0.7573
O: 0.3369 0.1631 0.2427
O: 0.3369 0.1631 0.7573
O: 0.5000 0.5000 0.5000
O: 0.6631 0.8369 0.2427
O: 0.6631 0.8369 0.7573
O: 0.8369 0.3369 0.2427
O: 0.8369 0.3369 0.7573

=====

Record 18
LaPmNdO | GGA-PBE | relaxed

Values from the calculation:
* SG: P4/nmm (129)
* total magnetization: 0.7 μB per formula unit
* electronic total energy: -5.859 eV per atom
* ΔE_f (raw): -1.008 eV per atom

Unit cell a=4.1774 b=4.1774 c=14.5799 alpha=90.00 beta=90.00 gamma=90.00
Fractional positions:
La: 0.2500 0.7500 0.0000
La: 0.7500 0.2500 0.0000
Pm: 0.2500 0.2500 0.4273
Pm: 0.7500 0.7500 0.5727
Nd: 0.2500 0.2500 0.7817
Nd: 0.7500 0.7500 0.2183
O: 0.2500 0.7500 0.5000
O: 0.7500 0.2500 0.5000

=====

Record 19
La2PmNdO | GGA-PBE | relaxed

Values from the calculation:
* SG: P4/mmm (123)
* total magnetization: 0.0 μB per formula unit
* electronic total energy: -5.986 eV per atom
* ΔE_f (raw): -1.119 eV per atom

Unit cell a=5.2015 b=5.2015 c=5.0975 alpha=90.00 beta=90.00 gamma=90.00
Fractional positions:
La: 0.0000 0.5000 0.0000
La: 0.5000 0.0000 0.0000
Pm: 0.0000 0.0000 0.5000
Nd: 0.5000 0.5000 0.5000
O: 0.5000 0.5000 0.0000

=====

Record 20
La2PrNdO | GGA-PBE | relaxed

Values from the calculation:
* SG: P4/mmm (123)
* total magnetization: 0.0 μB per formula unit
* electronic total energy: -5.990 eV per atom
* ΔE_f (raw): -1.118 eV per atom

Unit cell a=5.1842 b=5.1842 c=5.1802 alpha=90.00 beta=90.00 gamma=90.00
Fractional positions:
La: 0.0000 0.5000 0.0000
La: 0.5000 0.0000 0.0000
Pr: 0.0000 0.0000 0.5000
Nd: 0.5000 0.5000 0.5000
O: 0.0000 0.0000 0.0000

=====

Record 21
LaPrNdO | GGA-PBE | relaxed

Values from the calculation:
* SG: P4/nmm (129)
* total magnetization: 0.8 μB per formula unit
* electronic total energy: -5.857 eV per atom
* ΔE_f (raw): -0.999 eV per atom

Unit cell a=4.2203 b=4.2203 c=14.5507 alpha=90.00 beta=90.00 gamma=90.00
Fractional positions:
La: 0.2500 0.7500 0.0000
La: 0.7500 0.2500 0.0000
Pr: 0.2500 0.2500 0.2162
Pr: 0.7500 0.7500 0.7838
Nd: 0.2500 0.2500 0.5735
Nd: 0.7500 0.7500 0.4265
O: 0.2500 0.7500 0.5000
O: 0.7500 0.2500 0.5000